1.
20
Lattice="-5.234 4.608 -6.323 -0.650 -7.752 -4.311 -5.717 1.523 6.641" Properties=species:S:1:pos:R:3 comment="Pm6Dy2HoSc (PBE, optimized geometry)" dos_at_fermi_per_ev_cell=27.59 total_energy_ev_per_cell=-94.70 magmom_total_mub_per_cell=0.00 pbc="T T T"
Pm -7.491 -3.656 -4.959
Pm -7.514 1.590 1.985
Pm -4.087 -3.211 -5.979
Pm -7.589 0.118 -1.268
Pm -4.012 -1.739 -2.726
Sc -4.900 -1.215 0.466
Pm -4.529 0.314 -6.950
Dy -1.615 -1.823 -0.251
Pm -7.752 2.620 -3.461
Dy -6.868 -3.020 -1.667
Ho -9.513 4.743 1.620
Pm -4.731 0.456 4.233
Pm -3.849 -4.241 -0.533
Ho -2.088 -6.364 -5.614
Pm -7.073 -1.935 2.957
Sc -6.701 -0.406 -4.460
Dy -4.734 1.399 -2.327
Pm -4.110 2.035 0.965
Dy -9.987 0.202 -3.743
Pm -6.870 -2.077 -8.227


2.
18
Lattice="-2.192 -4.882 1.883 -2.367 0.116 -11.000 8.181 -4.369 -1.806" Properties=species:S:1:pos:R:3 comment="Pm5DyHoSc2 (PBE, optimized geometry)" dos_at_fermi_per_ev_cell=27.04 total_energy_ev_per_cell=-88.26 magmom_total_mub_per_cell=0.00 pbc="T T T"
Pm 0.709 -3.677 -0.161
Pm 0.837 -2.672 -5.955
Pm 2.629 -5.334 -2.223
Ho 0.663 -3.701 -8.823
Pm 3.768 -4.549 -7.408
Sc 1.896 -1.967 -2.893
Pm -0.672 -4.305 -3.398
Pm -2.329 -2.027 -7.966
Pm -0.009 -0.095 -0.258
Sc 4.865 -3.704 -3.940
Dy -1.118 -0.932 -3.718
Sc 3.012 -7.855 -8.313
Pm -0.311 -6.935 -9.795
Ho 5.747 -6.924 -2.715
Sc -1.950 -5.054 -6.826
Pm 4.061 -7.144 -5.249
Pm 2.883 -5.443 -10.755
Dy 0.951 -6.180 -6.368


3.
12
Lattice="6.052 0.000 0.005 -3.024 5.242 0.005 -1.018 -1.762 11.301" Properties=species:S:1:pos:R:3 comment="Pm2DyHo6Sc3 (PBE, optimized geometry)" dos_at_fermi_per_ev_cell=17.64 total_energy_ev_per_cell=-60.03 magmom_total_mub_per_cell=0.00 pbc="T T T"
Ho -0.008 -0.014 8.356
Dy 0.000 0.000 0.000
Sc -2.022 3.488 5.655
Ho 2.014 -0.003 2.950
Pm 0.000 3.495 0.005
Ho -0.004 3.483 8.361
Pm 3.027 1.747 0.005
Ho -1.009 1.743 2.950
Sc 1.005 1.740 5.655
Sc 4.032 -0.008 5.655
Ho 2.018 3.494 2.955
Ho 3.018 1.737 8.361


4.
12
Lattice="6.132 0.001 -0.004 -3.064 5.311 -0.004 -1.013 -1.754 11.535" Properties=species:S:1:pos:R:3 comment="Pm3Dy2Ho6Sc (PBE, optimized geometry)" dos_at_fermi_per_ev_cell=16.30 total_energy_ev_per_cell=-56.92 magmom_total_mub_per_cell=0.00 pbc="T T T"
Pm 4.094 0.008 5.764
Ho 3.068 1.799 8.708
Dy 3.064 1.772 -0.004
Sc 0.000 0.000 0.000
Ho 2.054 3.556 2.819
Pm -2.039 3.550 5.764
Dy 0.004 3.540 -0.004
Ho -1.013 1.759 2.820
Pm 1.027 1.779 5.764
Ho 0.001 0.002 8.709
Ho 0.025 3.556 8.708
Ho 2.030 0.002 2.820


5.
7
Lattice="3.429 0.000 0.000 -1.715 5.481 1.490 0.000 0.736 11.555" Properties=species:S:1:pos:R:3 comment="Pm2DyHo2Sc2 (PBE, optimized geometry)" dos_at_fermi_per_ev_cell=12.17 total_energy_ev_per_cell=-35.16 magmom_total_mub_per_cell=0.00 pbc="T T T"
Pm 0.000 3.667 2.009
Ho 1.715 0.677 2.832
Sc 1.715 3.250 5.077
Ho 0.000 5.540 10.213
Dy 0.000 0.368 5.778
Sc 0.000 2.967 7.968
Pm 1.715 2.551 11.036


6.
12
Lattice="-1.296 4.167 -4.269 -4.518 -2.953 2.852 1.674 7.805 8.561" Properties=species:S:1:pos:R:3 comment="Pm2Dy3Ho6Sc (PBE, optimized geometry)" dos_at_fermi_per_ev_cell=15.48 total_energy_ev_per_cell=-56.80 magmom_total_mub_per_cell=0.00 pbc="T T T"
Ho -0.183 6.153 6.069
Ho -2.583 7.945 4.182
Dy -0.995 6.886 1.196
Ho -1.558 1.075 2.963
Ho -3.647 5.593 6.534
Dy -2.070 4.510 3.572
Ho -3.958 2.867 1.076
Pm -3.443 -0.577 0.476
Dy -3.145 2.134 5.948
Sc 0.000 0.000 0.000
Ho -0.493 3.427 0.610
Pm -2.371 1.791 -1.893


7.
18
Lattice="-0.166 1.802 5.028 6.662 -9.019 0.612 8.120 5.874 -1.837" Properties=species:S:1:pos:R:3 comment="Pm5DyHo2Sc (PBE, optimized geometry)" dos_at_fermi_per_ev_cell=26.45 total_energy_ev_per_cell=-85.38 magmom_total_mub_per_cell=0.00 pbc="T T T"
Ho 3.606 -0.373 0.253
Ho 7.696 2.581 -0.671
Pm 9.327 -0.441 0.466
Pm 5.707 1.834 2.371
Ho 7.080 -3.808 4.438
Pm 9.490 2.130 2.390
Ho 11.115 -0.895 3.527
Pm 4.418 -1.533 3.535
Pm 4.983 -6.018 2.321
Sc 2.889 -3.431 1.325
Dy 1.313 -0.693 3.131
Dy 9.375 -3.492 1.561
Pm 6.547 -7.150 5.618
Pm 6.272 -2.645 1.155
Pm 6.073 5.353 1.122
Sc 7.804 -0.751 3.366
Pm 8.674 -6.602 2.652
Pm 4.142 2.966 -0.926


8.
12
Lattice="6.166 0.000 0.007 -3.081 5.341 0.007 -1.038 -1.797 11.426" Properties=species:S:1:pos:R:3 comment="Pm6DyHo3Sc2 (PBE, optimized geometry)" dos_at_fermi_per_ev_cell=13.68 total_energy_ev_per_cell=-59.09 magmom_total_mub_per_cell=0.00 pbc="T T T"
Sc 3.082 1.781 0.007
Pm 2.046 3.543 2.811
Ho 1.023 1.772 5.720
Pm 2.073 -0.001 2.803
Pm -0.026 3.545 8.637
Ho -2.057 3.551 5.720
Pm 0.000 0.001 8.630
Sc 0.002 3.560 0.007
Pm -1.037 1.795 2.803
Ho 4.104 -0.007 5.720
Pm 3.084 1.749 8.637
Dy 0.000 0.000 0.000


9.
12
Lattice="6.034 0.000 0.013 -3.015 5.226 0.013 -1.029 -1.782 11.269" Properties=species:S:1:pos:R:3 comment="PmDy2Ho6Sc3 (PBE, optimized geometry)" dos_at_fermi_per_ev_cell=17.74 total_energy_ev_per_cell=-59.89 magmom_total_mub_per_cell=0.00 pbc="T T T"
Ho -1.011 1.735 2.934
Pm 0.000 0.000 0.000
Dy 3.016 1.743 0.013
Sc 0.995 1.722 5.648
Ho -0.017 -0.030 8.346
Sc 4.008 -0.018 5.648
Dy 0.002 3.484 0.013
Ho -0.018 3.453 8.361
Sc -2.019 3.463 5.648
Ho 2.007 3.474 2.949
Ho 2.008 -0.008 2.934
Ho 3.000 1.710 8.361


10.
12
Lattice="-3.050 1.965 -3.381 -4.329 -2.840 5.891 0.533 8.799 4.633" Properties=species:S:1:pos:R:3 comment="PmDy3HoSc (PBE, optimized geometry)" dos_at_fermi_per_ev_cell=17.64 total_energy_ev_per_cell=-58.49 magmom_total_mub_per_cell=0.00 pbc="T T T"
Dy -5.262 1.954 2.245
Sc -1.833 1.576 2.569
Dy -3.221 4.756 2.032
Ho 0.000 0.000 0.000
Dy -3.359 7.561 7.424
Pm -5.425 4.751 7.655
Pm -1.421 3.173 -0.511
Ho 0.267 4.399 2.316
Dy -3.625 3.168 5.111
Sc -5.012 6.348 4.574
Dy -1.584 5.970 4.898
Dy -3.487 0.363 -0.281


11.
14
Lattice="-5.863 5.802 2.320 -2.169 0.838 8.248 2.361 6.968 4.365" Properties=species:S:1:pos:R:3 comment="Pm4DyHoSe8 (PBE, optimized geometry)" dos_at_fermi_per_ev_cell=8.79 raw_formation_energy_mev_per_atom=-1725 magmom_total_mub_per_cell=0.00 pbc="T T T"
Ho -0.959 8.576 7.780
Dy 2.347 6.955 4.362
Pm -4.712 5.033 7.153
Pm 1.172 3.497 2.198
Se -2.370 3.682 7.906
Se -3.236 9.892 7.047
Pm 0.097 3.912 6.286
Se -1.295 7.283 10.162
Se -1.365 3.452 3.742
Se -0.155 6.843 5.828
Se -4.363 10.103 11.181
Pm -1.734 6.373 3.348
Se -5.536 6.815 9.159
Se -4.365 6.363 4.706


12.
8
Lattice="4.036 0.000 0.000 0.000 7.158 -0.198 0.000 2.465 6.660" Properties=species:S:1:pos:R:3 comment="PmDyHo2Se4 (PBE, optimized geometry)" dos_at_fermi_per_ev_cell=4.57 raw_formation_energy_mev_per_atom=-1754 magmom_total_mub_per_cell=0.00 pbc="T T T"
Se 4.036 2.358 1.671
Ho 2.018 1.232 3.330
Se 0.000 7.265 4.791
Pm 2.018 3.579 -0.099
Se 2.018 3.590 4.927
Dy 0.000 4.811 3.231
Se 2.018 6.033 1.535
Ho 0.000 2.465 6.660